Record 1
TbPm2Si3Pt4 | PBE-GGA | relaxed

It has space group P-4m2 (No. 115), with a = 4.269 Å, b = 4.269 Å, c = 10.857 Å, α = 90.00°, β = 90.00° and γ = 90.00°. The distinct sites, in fractional coordinates, are Tb at (0.000, 0.000, 0.000), Pm at (0.000, 0.500, 0.725), Si at (0.000, 0.500, 0.382), Si at (0.500, 0.500, 0.000), Pt at (0.000, 0.000, 0.500), Pt at (0.000, 0.500, 0.162) and Pt at (0.500, 0.500, 0.500).

The energy relative to the elements, uncorrected comes out at -1053 meV/atom. The calculation puts the energy at -6.51 eV/atom. Its total magnetic moment is 0.000 μB per cell.

---

Record 2
Cr2FeHg | PBE-GGA | relaxed

It has space group I4/mmm (No. 139), with a = 3.699 Å, b = 3.699 Å, c = 7.988 Å, α = 90.00°, β = 90.00° and γ = 90.00°. The distinct sites, in fractional coordinates, are Cr at (0.000, 0.500, 0.250), Fe at (0.000, 0.000, 0.000) and Hg at (0.000, 0.000, 0.500).

The calculation puts the energy at -6.39 eV/atom. Its total magnetic moment is 3.097 μB per cell.

---

Record 3
CaCoHg | PBE-GGA | relaxed

It has space group P-6m2 (No. 187), with a = 4.4778 Å, b = 4.4778 Å, c = 3.8590 Å, α = 90.00°, β = 90.00° and γ = 120.00°. The distinct sites, in fractional coordinates, are Ca at (0.0000, 0.0000, 0.0000), Co at (0.3333, 0.6667, 0.5000) and Hg at (0.6667, 0.3333, 0.5000).

The calculation puts the energy at -3.07 eV/atom. Its total magnetic moment is 0.995 μB per cell.

---

Record 4
CdInNiRh | PBE-GGA | relaxed

It has space group F-43m (No. 216), with a = 6.395 Å, b = 6.395 Å, c = 6.395 Å, α = 90.00°, β = 90.00° and γ = 90.00°. The distinct sites, in fractional coordinates, are Cd at (0.000, 0.000, 0.000), In at (0.000, 0.000, 0.500), Ni at (0.250, 0.250, 0.250) and Rh at (0.250, 0.250, 0.750).

The calculation puts the energy at -4.34 eV/atom. Its total magnetic moment is 0.004 μB per cell.

---

Record 5
Pu2GaHg | PBE-GGA | relaxed

It has space group R-3m (No. 166, hexagonal axes), with a = 3.3454 Å, b = 3.3454 Å, c = 30.7466 Å, α = 90.00°, β = 90.00° and γ = 120.00°. The distinct sites, in fractional coordinates, are Pu at (0.0000, 0.0000, 0.2448), Ga at (0.0000, 0.0000, 0.5000) and Hg at (0.0000, 0.0000, 0.0000).

The calculation puts the energy at -8.04 eV/atom. Its total magnetic moment is 35.183 μB per cell.

---

Record 6
PrDyGaHg | PBE-GGA | relaxed

It has space group F-43m (No. 216), with a = 7.480 Å, b = 7.480 Å, c = 7.480 Å, α = 90.00°, β = 90.00° and γ = 90.00°. The distinct sites, in fractional coordinates, are Pr at (0.000, 0.000, 0.000), Dy at (0.000, 0.000, 0.500), Ga at (0.250, 0.250, 0.750) and Hg at (0.250, 0.250, 0.250).

The calculation puts the energy at -3.67 eV/atom. Its total magnetic moment is 0.049 μB per cell.

---

Record 7
LiZr2P | PBE-GGA | relaxed

It has space group I-4m2 (No. 119), with a = 3.873 Å, b = 3.873 Å, c = 9.380 Å, α = 90.00°, β = 90.00° and γ = 90.00°. The distinct sites, in fractional coordinates, are Li at (0.000, 0.000, 0.000), Zr at (0.000, 0.000, 0.500), Zr at (0.000, 0.500, 0.250) and P at (0.000, 0.500, 0.750).

The calculation puts the energy at -6.47 eV/atom. Its total magnetic moment is 0.000 μB per cell.

---

Record 8
LaIr3 | PBE-GGA | relaxed

It has space group I4/mmm (No. 139), with a = 4.179 Å, b = 4.179 Å, c = 8.252 Å, α = 90.00°, β = 90.00° and γ = 90.00°. The distinct sites, in fractional coordinates, are La at (0.000, 0.000, 0.000), Ir at (0.000, 0.000, 0.500) and Ir at (0.000, 0.500, 0.250).

The calculation puts the energy at -7.85 eV/atom. Its total magnetic moment is 0.000 μB per cell.

---

Record 9
Ac2ScReO6 | PBE-GGA | relaxed

It has space group R-3 (No. 148, hexagonal axes), with a = 5.9521 Å, b = 5.9521 Å, c = 13.4888 Å, α = 90.00°, β = 90.00° and γ = 120.00°. The distinct sites, in fractional coordinates, are Ac at (0.0000, 0.0000, 0.2441), Sc at (0.0000, 0.0000, 0.5000), Re at (0.0000, 0.0000, 0.0000) and O at (0.0039, 0.5743, 0.2532).

The energy relative to the elements, uncorrected comes out at -2770 meV/atom. The calculation puts the energy at -8.44 eV/atom. Its total magnetic moment is 6.008 μB per cell.

---

Record 10
NaTiAl | PBE-GGA | relaxed

It has space group Pm (No. 6), with a = 2.978 Å, b = 4.636 Å, c = 9.800 Å, α = 90.00°, β = 98.61° and γ = 90.00°. The distinct sites, in fractional coordinates, are Na at (0.000, 0.000, 0.000), Na at (0.391, 0.500, 0.773), Ti at (0.277, 0.000, 0.536), Ti at (0.663, 0.000, 0.306), Al at (0.131, 0.500, 0.237) and Al at (0.749, 0.500, 0.479).

The calculation puts the energy at -4.27 eV/atom. Its total magnetic moment is 0.000 μB per cell.

---

Record 11
K2SnHg3Pb4 | PBE-GGA | relaxed

It has space group P-4m2 (No. 115), with a = 5.053 Å, b = 5.053 Å, c = 13.203 Å, α = 90.00°, β = 90.00° and γ = 90.00°. The distinct sites, in fractional coordinates, are K at (0.000, 0.500, 0.249), Sn at (0.000, 0.000, 0.500), Hg at (0.000, 0.500, 0.860), Hg at (0.500, 0.500, 0.500), Pb at (0.000, 0.000, 0.000), Pb at (0.000, 0.500, 0.635) and Pb at (0.500, 0.500, 0.000).

The calculation puts the energy at -2.30 eV/atom. Its total magnetic moment is 0.000 μB per cell.

---

Record 12
BeCdPt3 | PBE-GGA | relaxed

It has space group P2_1/c (No. 14), with a = 8.680 Å, b = 4.530 Å, c = 9.007 Å, α = 90.00°, β = 118.80° and γ = 90.00°. The distinct sites, in fractional coordinates, are Be at (0.115, 0.143, 0.491), Cd at (0.363, 0.726, 0.930), Pt at (0.086, 0.135, 0.742), Pt at (0.165, 0.640, 0.584) and Pt at (0.402, 0.151, 0.704).

The calculation puts the energy at -4.92 eV/atom. Its total magnetic moment is 0.000 μB per cell.

---

total magnetic moment of number 1 (TbPm2Si3Pt4)?
0.000 μB per cell